Entry 1:
# Ce6Hg3Au

Crystalline Ce6Hg3Au at its relaxed geometry (PBE-GGA, the Alexandria database).

Lattice parameters (Å, degrees): 10.139 6.802 8.314 90.00 104.49 90.00
Space group C2/m (No. 12)
Symmetry-distinct sites (fractional):
Ce1 0.146 0.000 0.410
Ce2 0.148 0.298 0.848
Hg1 0.000 0.500 0.500
Hg2 0.145 0.500 0.226
Au1 0.000 0.000 0.000

Results
As for the calculated formation energy: -0.16 eV per atom. The crystal system is monoclinic. As for the calculated total energy: -4.138 eV/atom.

Entry 2:
# BaCaLa2Pt

Crystalline BaCaLa2Pt at its relaxed geometry (PBE-GGA, the Alexandria database).

Lattice parameters (Å, degrees): 5.786 5.786 5.971 90.00 90.00 90.00
Space group P4/mmm (No. 123)
Symmetry-distinct sites (fractional):
Ba1 0.000 0.000 0.000
Ca1 0.500 0.500 0.000
La1 0.000 0.500 0.500
Pt1 0.500 0.500 0.500

Results
As for the calculated formation energy: -0.44 eV per atom. The crystal system is tetragonal. As for the calculated total energy: -4.402 eV/atom. As for the energy above the most stable polymorph in this dataset: 0.0000 eV per atom.

Q: Number 1 is which compound?
A: Ce6Hg3Au